Material: Cs2LaI6O
Method: DFT, PBE
State: optimized geometry

**Formation energy from raw total energies**: -1.03 eV per atom
**ρ**: 3.95 g cm⁻³
**Electronic total energy**: -3.12 eV per atom
**Density of states at the Fermi level**: 2.527 states/eV per atom

Geometry as POSCAR:
```
Cs2LaI6O
1.0
-4.807 4.807 5.371
4.807 -4.807 5.371
4.807 4.807 -5.371
Cs La I O
2 1 6 1
Direct
0.250 0.750 0.500
0.750 0.250 0.500
0.000 0.000 0.000
0.231 0.231 0.461
0.231 0.769 0.000
0.298 0.298 0.000
0.702 0.702 0.000
0.769 0.231 0.000
0.769 0.769 0.539
0.500 0.500 0.000
```

***

Material: AlAs2Pb
Method: DFT, PBE
State: optimized geometry

**Calculated formation energy**: 0.1 eV per formula unit
**ρ**: 6.52 g cm⁻³
**Electronic total energy**: -4.17 eV per atom
**Density of states at the Fermi level**: 0.400 states/eV per atom
**Energy relative to the lowest polymorph listed for this composition**: 0.52 eV/f.u.

Geometry as POSCAR:
```
AlAs2Pb
1.0
3.837 0.000 0.000
0.000 3.837 0.000
0.000 0.000 6.644
Al As Pb
1 2 1
Direct
0.000 0.000 0.000
0.000 0.000 0.381
0.500 0.500 0.939
0.500 0.500 0.518
```

***

Material: KBaCa2
Method: DFT, PBE
State: optimized geometry

**Calculated formation energy**: 0.4 eV per formula unit
**ρ**: 2.03 g cm⁻³
**Electronic total energy**: -1.66 eV per atom
**Density of states at the Fermi level**: 1.229 states/eV per atom
**Energy relative to the lowest polymorph listed for this composition**: 0.00 eV/f.u.

Geometry as POSCAR:
```
KBaCa2
1.0
2.086 1.204 13.960
-2.086 1.204 13.960
0.000 -2.408 13.960
K Ba Ca
1 1 2
Direct
0.000 0.000 0.000
0.240 0.240 0.240
0.493 0.493 0.493
0.754 0.754 0.754
```

***

Material: CeHoInAg
Method: DFT, PBE
State: optimized geometry

**Calculated formation energy**: -1.1 eV per formula unit
**ρ**: 8.24 g cm⁻³
**Electronic total energy**: -4.29 eV per atom
**Density of states at the Fermi level**: 2.627 states/eV per atom

Geometry as POSCAR:
```
CeHoInAg
1.0
0.000 3.760 3.760
3.760 0.000 3.760
3.760 3.760 0.000
Ce Ho In Ag
1 1 1 1
Direct
0.000 0.000 0.000
0.500 0.500 0.500
0.750 0.750 0.750
0.250 0.250 0.250
```

***

Material: NaHfAsSe2
Method: DFT, PBE
State: optimized geometry

**Formation energy from raw total energies**: -0.61 eV per atom
**ρ**: 5.09 g cm⁻³
**Electronic total energy**: -5.19 eV per atom
**Density of states at the Fermi level**: 0.938 states/eV per atom
**Energy relative to the lowest polymorph listed for this composition**: 0.00 eV/f.u.

Geometry as POSCAR:
```
NaHfAsSe2
1.0
5.222 0.000 0.000
0.000 5.222 0.000
0.000 0.000 5.200
Na Hf As Se
1 1 1 2
Direct
0.000 0.000 0.000
0.500 0.500 0.500
0.500 0.500 0.000
0.000 0.500 0.500
0.500 0.000 0.500
```

***

Material: LaCeBr2
Method: DFT, PBE
State: optimized geometry

**Formation energy from raw total energies**: -1.17 eV per atom
**ρ**: 6.53 g cm⁻³
**Electronic total energy**: -4.72 eV per atom
**Density of states at the Fermi level**: 1.589 states/eV per atom
**Energy relative to the lowest polymorph listed for this composition**: 0.00 eV/f.u.

Geometry as POSCAR:
```
LaCeBr2
1.0
1.878 1.084 9.127
-1.878 1.084 9.127
0.000 -2.169 9.127
La Ce Br
1 1 2
Direct
0.000 0.000 0.000
0.500 0.500 0.500
0.248 0.248 0.248
0.752 0.752 0.752
```